Material: CaRhNF2
Method: DFT, GGA-PBE
State: relaxed

Lattice parameters (Å, degrees): 4.408 4.408 3.765 90.00 90.00 90.00
Fractional positions:
Ca 0.000 0.000 0.000
Rh 0.500 0.500 0.500
N 0.500 0.500 0.000
F 0.000 0.500 0.500
F 0.500 0.000 0.500

Computed properties:
excess energy over the best structure of this formula in the dataset = 0.000 eV per atom
electronic total energy = -5.5040 eV/atom
formation energy from raw total energies = -1219.8 meV per atom

Material: CaRhN2F
Method: DFT, GGA-PBE
State: relaxed

Lattice parameters (Å, degrees): 4.609 4.609 4.176 90.00 90.00 90.00
Fractional positions:
Ca 0.000 0.000 0.000
Rh 0.500 0.500 0.500
N 0.000 0.500 0.000
N 0.500 0.000 0.000
F 0.000 0.000 0.500

Computed properties:
excess energy over the best structure of this formula in the dataset = 1.414 eV per atom
electronic total energy = -4.5668 eV/atom
formation energy from raw total energies = 1008.2 meV per atom

Material: CaRhN2F
Method: DFT, GGA-PBE
State: relaxed

Lattice parameters (Å, degrees): 3.752 3.752 5.335 90.00 90.00 90.00
Fractional positions:
Ca 0.000 0.000 0.000
Rh 0.500 0.500 0.500
N 0.000 0.500 0.500
N 0.500 0.000 0.500
F 0.500 0.500 0.000

Computed properties:
excess energy over the best structure of this formula in the dataset = 0.000 eV per atom
electronic total energy = -5.9806 eV/atom
formation energy from raw total energies = -405.6 meV per atom

Material: CaRhNF2
Method: DFT, GGA-PBE
State: relaxed

Lattice parameters (Å, degrees): 4.155 4.155 5.159 90.00 90.00 90.00
Fractional positions:
Ca 0.000 0.000 0.000
Rh 0.500 0.500 0.500
N 0.000 0.000 0.500
F 0.000 0.500 0.000
F 0.500 0.000 0.000

Computed properties:
excess energy over the best structure of this formula in the dataset = 0.679 eV per atom
electronic total energy = -4.8254 eV/atom
formation energy from raw total energies = -541.2 meV per atom